# 1
Density functional theory data (PBE) for an optimized crystal structure of MgSb4Br.

a b c (Å): 6.347 6.347 6.347
angles (deg): 60.00 60.00 60.00
Sites, in units of the cell vectors:
Mg 0.000 0.000 0.000
Sb 0.850 0.383 0.383
Sb 0.383 0.383 0.850
Sb 0.383 0.850 0.383
Sb 0.383 0.383 0.383
Br 0.750 0.750 0.750

The calculated volume is 181 Å³/f.u. The space group is F-43m. The total energy comes out at -19.04 eV/cell. The value obtained for the magnetization is 0.00 μB per formula unit. For the uncorrected formation energy, the calculation gives 0.120 eV/atom. The calculation puts the density of states at the Fermi level at 4.56 states/eV/f.u.

# 2
Density functional theory data (PBE) for an optimized crystal structure of Zn2CoSi.

a b c (Å): 4.252 5.266 2.686
angles (deg): 73.94 93.07 114.67
Sites, in units of the cell vectors:
Co 0.000 0.500 0.500
Si 0.500 0.500 0.000
Zn 0.000 0.000 0.000
Zn 0.500 0.000 0.500

The calculated volume is 52 Å³/f.u. The space group is C2/m. The total energy comes out at -14.86 eV/cell. The value obtained for the magnetization is 0.00 μB per formula unit. For the uncorrected formation energy, the calculation gives 0.055 eV/atom. The calculation puts the density of states at the Fermi level at 2.80 states/eV/f.u.

# 3
Density functional theory data (PBE) for an optimized crystal structure of NaTb2C2N6.

a b c (Å): 6.351 5.857 6.219
angles (deg): 113.20 89.89 57.24
Each line ends with the local moment (μB).
Sites, in units of the cell vectors:
Na 0.500 0.000 0.500  0.00
Tb 0.828 0.344 0.805  0.02
Tb 0.172 0.656 0.195  0.02
C 0.181 0.639 0.734  -0.01
C 0.819 0.361 0.266  -0.01
N 0.406 0.542 0.796  0.15
N 0.944 0.462 0.206  0.15
N 0.089 0.824 0.631  0.04
N 0.056 0.538 0.794  0.15
N 0.911 0.176 0.369  0.04
N 0.594 0.458 0.204  0.15

The calculated volume is 172 Å³/f.u. The space group is P-1. The total energy comes out at -82.99 eV/cell. The value obtained for the magnetization is 0.99 μB per formula unit. For the uncorrected formation energy, the calculation gives -0.365 eV/atom. The calculation puts the density of states at the Fermi level at 4.23 states/eV/f.u.